[1]
The following is a DFT calculation (PBE) of a geometry-optimized Ac2Al3Zn4Ag structure.

Unit cell a=4.522 b=4.522 c=10.632 alpha=90.00 beta=90.00 gamma=90.00
Positions (direct):
1 Ac 0.500 0.000 0.245
2 Ac 0.000 0.500 0.755
3 Al 0.000 0.000 0.500
4 Al 0.500 0.000 0.873
5 Al 0.000 0.500 0.127
6 Zn 0.500 0.500 0.000
7 Zn 0.000 0.000 0.000
8 Zn 0.500 0.000 0.631
9 Zn 0.000 0.500 0.369
10 Ag 0.500 0.500 0.500

Summary:
Electronic total energy, eV per atom: -3.076

[2]
The following is a DFT calculation (PBE) of a geometry-optimized AcAlZn2Ag structure.

Unit cell a=4.482 b=4.482 c=6.316 alpha=110.78 beta=110.78 gamma=90.00
Positions (direct):
1 Ac 0.000 0.000 0.000
2 Al 0.750 0.250 0.500
3 Zn 0.617 0.617 0.235
4 Zn 0.383 0.383 0.765
5 Ag 0.250 0.750 0.500

Summary:
Electronic total energy, eV per atom: -2.946

[3]
The following is a DFT calculation (PBE) of a geometry-optimized Ac2Al4ZnAg3 structure.

Unit cell a=4.552 b=4.552 c=10.840 alpha=90.00 beta=90.00 gamma=90.00
Positions (direct):
1 Ac 0.500 0.000 0.255
2 Ac 0.000 0.500 0.745
3 Al 0.500 0.500 0.000
4 Al 0.000 0.000 0.000
5 Al 0.500 0.000 0.627
6 Al 0.000 0.500 0.373
7 Zn 0.500 0.500 0.500
8 Ag 0.000 0.000 0.500
9 Ag 0.500 0.000 0.871
10 Ag 0.000 0.500 0.129

Summary:
Electronic total energy, eV per atom: -3.641

[4]
The following is a DFT calculation (PBE) of a geometry-optimized Ac2AlZnAg6 structure.

Unit cell a=7.057 b=7.061 c=7.054 alpha=59.89 beta=59.91 gamma=89.91
Positions (direct):
1 Ac 0.750 0.250 0.500
2 Ac 0.250 0.750 0.500
3 Al 0.500 0.500 0.000
4 Zn 0.000 0.000 0.000
5 Ag 0.250 0.250 0.500
6 Ag 0.750 0.750 0.000
7 Ag 0.250 0.750 0.000
8 Ag 0.750 0.250 0.000
9 Ag 0.250 0.250 0.000
10 Ag 0.750 0.750 0.500

Summary:
Electronic total energy, eV per atom: -3.096